# MgAuBr2, relaxed, DFT GGA-PBE
# formation energy without anion corrections = -0.2567 eV/atom
# D(E_F) = 1.634 states/eV/cell
# E above lowest polymorph = 368.3 meV per atom
# magnetization = 0.00 Bohr magnetons per cell
data_MgAuBr2
_cell_length_a 3.9668
_cell_length_b 4.0546
_cell_length_c 6.2176
_cell_angle_alpha 90.00
_cell_angle_beta 90.00
_cell_angle_gamma 90.00
_symmetry_space_group_name_H-M 'P m m m'
_symmetry_Int_Tables_number 47
loop_
_symmetry_equiv_pos_as_xyz
'x,y,z'
'-x,-y,-z'
'-x,-y,z'
'x,y,-z'
'x,-y,-z'
'-x,y,z'
'-x,y,-z'
'x,-y,z'
loop_
_atom_site_label
_atom_site_fract_x
_atom_site_fract_y
_atom_site_fract_z
_atom_site_occupancy
Mg1 0.0000 0.0000 0.0000 1
Au1 0.5000 0.0000 0.5000 1
Br1 0.0000 0.5000 0.5000 1
Br2 0.5000 0.5000 0.0000 1